(1)
Computed, not measured: a relaxed Cs2CuCl3 crystal at the PBE level of DFT.

Summary:
* energy above the lowest structure with this stoichiometry: 22 meV per atom
* raw formation energy: -1.45 eV per atom

Unit cell a=10.3912 b=9.5140 c=7.7476 alpha=73.22 beta=61.23 gamma=45.55
With the nearest neighbours (Å) after each atom.
Atoms (fractional coordinates):
Cs: 0.2451 0.7549 0.7549  6 Cl 3.52-3.65
Cs: 0.2500 0.2500 0.2500  4 Cl 3.42
Cs: 0.7500 0.7500 0.7500  4 Cl 3.42
Cs: 0.7549 0.2451 0.2451  6 Cl 3.52-3.65
Cu: 0.1996 0.1996 0.8004  3 Cl 2.21-2.27
Cu: 0.8004 0.8004 0.1996  3 Cl 2.21-2.27
Cl: 0.0283 0.7341 0.2659  1 Cu 2.27
Cl: 0.2659 0.9717 0.0283  1 Cu 2.27
Cl: 0.3322 0.3322 0.6678  1 Cu 2.21
Cl: 0.6678 0.6678 0.3322  1 Cu 2.21
Cl: 0.7341 0.0283 0.9717  1 Cu 2.27
Cl: 0.9717 0.2659 0.7341  1 Cu 2.27


(2)
Computed, not measured: a relaxed GaTeSe2 crystal at the PBE level of DFT.

Summary:
* energy above the lowest structure with this stoichiometry: 114 meV per atom
* raw formation energy: -0.21 eV per atom

Unit cell a=6.2164 b=6.2164 c=7.4861 alpha=124.93 beta=124.93 gamma=33.20
With the nearest neighbours (Å) after each atom.
Atoms (fractional coordinates):
Ga: 0.0000 0.0000 0.0000  3 Se 2.37-2.40
Te: 0.8358 0.8358 0.1342  1 Ga 2.68, 1 Se 2.71
Se: 0.1190 0.1190 0.3958  1 Ga 2.40
Se: 0.5089 0.5089 0.7983  2 Ga 2.37


(3)
Computed, not measured: a relaxed HfGa2Ru3 crystal at the PBE level of DFT.

Summary:
* ΔH_f (0 K): -52.9 kJ per mole of atoms

Unit cell a=4.4090 b=4.4090 c=5.3209 alpha=90.00 beta=90.00 gamma=120.00
With the nearest neighbours (Å) after each atom.
Atoms (fractional coordinates):
Hf: 0.0000 0.0000 0.0000  8 Ru 2.66-2.74
Ga: 0.3333 0.6667 0.6832  8 Ru 2.63-2.73
Ga: 0.6667 0.3333 0.3168  8 Ru 2.63-2.73
Ru: 0.0000 0.0000 0.5000  2 Hf 2.66, 6 Ga 2.73
Ru: 0.3333 0.6667 0.1890  5 Ga 2.63-2.69, 3 Hf 2.74
Ru: 0.6667 0.3333 0.8110  5 Ga 2.63-2.69, 3 Hf 2.74


(4)
Computed, not measured: a relaxed Ca5DyS6 crystal at the PBE level of DFT.

Summary:
* raw formation energy: -2.12 eV per atom

Unit cell a=6.9402 b=6.9402 c=6.9436 alpha=99.61 beta=99.61 gamma=119.98
With the nearest neighbours (Å) after each atom.
Atoms (fractional coordinates):
Ca: 0.0000 0.0000 0.0000  6 S 2.83-2.89
Ca: 0.1665 0.8335 0.5000  6 S 2.84
Ca: 0.3320 0.6680 0.0000  6 S 2.83-2.87
Ca: 0.6680 0.3320 0.0000  6 S 2.83-2.87
Ca: 0.8335 0.1665 0.5000  6 S 2.84
Dy: 0.5000 0.5000 0.5000  6 S 2.78
S: 0.0908 0.4179 0.2537  1 Dy 2.78, 5 Ca 2.83-2.87
S: 0.2554 0.2554 0.7465  1 Dy 2.78, 5 Ca 2.84-2.89
S: 0.4179 0.0908 0.2537  1 Dy 2.78, 5 Ca 2.83-2.87
S: 0.5821 0.9092 0.7463  1 Dy 2.78, 5 Ca 2.83-2.87
S: 0.7446 0.7446 0.2535  1 Dy 2.78, 5 Ca 2.84-2.89
S: 0.9092 0.5821 0.7463  1 Dy 2.78, 5 Ca 2.83-2.87


(5)
Computed, not measured: a relaxed V2TcRh4 crystal at the PBE level of DFT.

Summary:
* ΔH_f (0 K): -10.0 kJ per mole of atoms

Unit cell a=5.2749 b=9.8023 c=3.9759 alpha=90.00 beta=90.00 gamma=90.00
With the nearest neighbours (Å) after each atom.
Atoms (fractional coordinates):
V: 0.1283 0.1381 0.0000  2 Tc 2.50, 7 Rh 2.50-2.73
V: 0.3717 0.6381 0.0000  2 Tc 2.50, 7 Rh 2.50-2.73
V: 0.6283 0.3619 0.0000  2 Tc 2.50, 7 Rh 2.50-2.73
V: 0.8717 0.8619 0.0000  2 Tc 2.50, 7 Rh 2.50-2.73
Tc: 0.0000 0.0000 0.5000  4 V 2.50, 2 Rh 2.74
Tc: 0.5000 0.5000 0.5000  4 V 2.50, 2 Rh 2.74
Rh: 0.1250 0.7287 0.5000  4 V 2.54-2.73, 6 Rh 2.67-2.83, 1 Tc 2.74
Rh: 0.1589 0.3980 0.0000  3 V 2.50-2.61, 3 Rh 2.61-2.78
Rh: 0.3411 0.8980 0.0000  3 V 2.50-2.61, 3 Rh 2.61-2.78
Rh: 0.3750 0.2287 0.5000  4 V 2.54-2.73, 6 Rh 2.67-2.83, 1 Tc 2.74
Rh: 0.6250 0.7713 0.5000  4 V 2.54-2.73, 6 Rh 2.67-2.83, 1 Tc 2.74
Rh: 0.6589 0.1020 0.0000  3 V 2.50-2.61, 3 Rh 2.61-2.78
Rh: 0.8411 0.6020 0.0000  3 V 2.50-2.61, 3 Rh 2.61-2.78
Rh: 0.8750 0.2713 0.5000  4 V 2.54-2.73, 6 Rh 2.67-2.83, 1 Tc 2.74


(6)
Computed, not measured: a relaxed Ba2CdSnH crystal at the PBE level of DFT.

Summary:
* energy above the lowest structure with this stoichiometry: 0 meV per atom

Unit cell a=5.5063 b=5.5063 c=4.8964 alpha=90.00 beta=90.00 gamma=90.00
With the nearest neighbours (Å) after each atom.
Atoms (fractional coordinates):
Ba: 0.0000 0.5000 0.0000  2 H 2.75
Ba: 0.5000 0.0000 0.0000  2 H 2.75
Cd: 0.0000 0.0000 0.5000  2 H 2.45
Sn: 0.5000 0.5000 0.5000  8 Ba 3.68, 4 Cd 3.89
H: 0.0000 0.0000 0.0000  2 Cd 2.45